Density functional theory data (PBE-GGA) for a relaxed structure of MgSiRh2.

Properties
Theoretical density   7.3 g cm⁻³
Formation energy without anion corrections   -508 meV/atom
Crystal system   monoclinic
Magnetic moment   0.00 Bohr magnetons per cell

abc: 2.8955 4.3426 4.8855
angles: 90.00 106.99 90.00
Closest atoms and distances in Å follow each position.
Space group Pm (No. 6)
One atom of each set of equivalent atoms:
Mg1 0.0000 0.0000 0.0000 x1  3 Rh 2.48-2.63
Si1 0.3625 0.5000 0.7221 x1  3 Rh 2.35-2.47
Rh1 0.2681 0.0000 0.5317 x1  2 Si 2.35, 3 Mg 2.48-2.63
Rh2 0.6288 0.5000 0.2513 x1  3 Si 2.47-2.64